# 1
First-principles (GGA-PBE) data for a geometry-optimized AcZnHPd2 structure, as listed in Alexandria.

```
10
Lattice="-3.288 1.155 -2.270 -0.336 -5.854 1.318 -3.751 1.625 6.261" Properties=species:S:1:pos:R:3 pbc="T T T"
Pd -4.175 -0.129 5.983
Pd -3.200 -2.945 -0.673
Pd -4.672 -2.307 1.785
Pd -2.703 -0.767 3.525
Zn -2.054 -2.569 1.669
Zn -5.321 -0.505 3.641
H 0.000 0.000 0.000
H -1.876 0.812 3.131
Ac -4.545 -3.397 4.856
Ac -2.830 0.323 0.453
```

Space group: Cmcm, No. 63
Calculated total energy, eV/atom: -4.46
Crystal system: orthorhombic

---

# 2
First-principles (GGA-PBE) data for a geometry-optimized NdHo7Tl2 structure, as listed in Alexandria.

```
10
Lattice="-1.527 -0.838 -5.182 -1.669 -8.536 1.873 -6.593 5.892 0.990" Properties=species:S:1:pos:R:3 pbc="T T T"
Ho -5.451 2.545 1.195
Ho -8.129 -0.826 -0.355
Ho -2.811 -5.190 1.668
Ho -4.894 -1.741 -1.160
Ho -2.860 0.860 -2.180
Ho -1.660 -2.657 -1.965
Ho -6.929 -4.343 -0.139
Tl -3.932 -4.562 -0.987
Tl -5.857 1.079 -1.332
Nd 0.000 0.000 0.000
```

Formation energy from the elements, eV per atom: 0.36
Space group: Cmmm, No. 65
Calculated total energy, eV/atom: -3.79
Crystal system: orthorhombic

---

# 3
First-principles (GGA-PBE) data for a geometry-optimized Ac3Sb4Au3 structure, as listed in Alexandria.

```
20
Lattice="-0.617 -0.223 -9.048 8.285 2.810 2.398 -1.458 -8.309 3.336" Properties=species:S:1:pos:R:3 pbc="T T T"
Ac 6.913 1.364 0.253
Ac -0.289 -5.964 -0.591
Ac 4.553 -5.302 -0.938
Ac 4.169 -1.527 -4.036
Ac 0.620 -4.685 -5.232
Ac 2.665 -1.051 0.602
Au 1.658 -0.420 -2.376
Au 2.041 -4.195 0.722
Au 3.545 -4.670 -3.916
Au 6.500 0.242 -2.723
Au 5.590 -1.036 1.918
Au -0.703 -7.086 -3.567
Sb -1.213 -6.914 2.776
Sb -0.484 -2.760 1.108
Sb 1.715 -3.332 -2.059
Sb 3.938 1.331 -1.806
Sb 5.857 -1.927 -0.861
Sb 3.629 1.220 -6.330
Sb 4.456 -3.710 2.311
Sb 0.734 -1.072 -5.080
```

Space group: I-43d, No. 220
Calculated total energy, eV/atom: -4.80
Crystal system: cubic
E_form (uncorrected), meV/atom: -936

---

# 4
First-principles (GGA-PBE) data for a geometry-optimized SbPbAu2 structure, as listed in Alexandria.

```
4
Lattice="4.443 0.000 0.000 0.000 3.264 0.029 0.000 -0.058 6.702" Properties=species:S:1:pos:R:3 pbc="T T T"
Pb 2.222 0.802 1.683
Sb 2.222 2.405 5.048
Au 0.000 2.449 0.129
Au 0.000 2.418 3.266
```

Space group: Pmmm, No. 47
Calculated total energy, eV/atom: -3.58
Crystal system: orthorhombic
E_form (uncorrected), meV/atom: 12

---

# 5
First-principles (GGA-PBE) data for a geometry-optimized Pa2P2PtN6 structure, as listed in Alexandria.

```
11
Lattice="-1.100 5.695 -0.242 -3.538 3.671 -3.411 -2.969 -1.157 5.851" Properties=species:S:1:pos:R:3 pbc="T T T"
Pa -4.353 5.237 3.722
Pa -3.254 2.971 -1.524
N -2.312 4.785 -0.400
N -1.762 1.643 -0.435
N -5.295 3.424 2.599
N -5.743 7.856 0.189
N -1.863 0.353 2.009
N -5.845 6.566 2.633
P -4.249 2.223 2.054
P -3.358 5.986 0.145
Pt -2.034 2.269 2.805
```

Space group: P-1, No. 2
Calculated total energy, eV/atom: -8.72
Crystal system: triclinic
E_form (uncorrected), meV/atom: -916

---

# 6
First-principles (GGA-PBE) data for a geometry-optimized CuNCl3 structure, as listed in Alexandria.

```
20
Lattice="16.952 0.000 0.000 0.000 3.900 0.481 0.000 3.352 8.173" Properties=species:S:1:pos:R:3 pbc="T T T"
Cl 12.962 2.936 1.656
Cl 9.620 4.650 3.292
Cl 6.914 2.773 1.454
Cl 15.808 6.326 7.379
Cl 7.332 2.603 5.361
Cl 1.562 4.450 5.540
Cl 10.038 4.479 7.200
Cl 4.486 2.640 2.911
Cl 15.390 2.803 3.114
Cl 3.990 4.316 6.997
Cl 1.144 0.927 1.275
Cl 12.466 4.613 5.743
N 13.832 2.062 2.799
N 3.120 5.191 5.855
N 11.596 3.738 6.885
N 5.356 3.515 1.768
Cu 8.567 4.587 5.452
Cu 0.091 4.342 7.288
Cu 8.385 2.666 3.201
Cu 16.861 2.911 1.366
```

E above lowest polymorph, meV/atom: 0
Space group: P2_1/c, No. 14
Calculated total energy, eV/atom: -3.31
Crystal system: monoclinic
E_form (uncorrected), meV/atom: 281

---

# 7
First-principles (GGA-PBE) data for a geometry-optimized ZnCo2Br structure, as listed in Alexandria.

```
4
Lattice="3.041 0.000 0.000 0.000 4.242 0.000 0.000 0.000 4.242" Properties=species:S:1:pos:R:3 pbc="T T T"
Zn 1.521 2.121 0.000
Co 0.000 0.000 0.000
Co 0.000 2.121 2.121
Br 1.521 0.000 2.121
```

E above lowest polymorph, meV/atom: 336
Space group: P4/mmm, No. 123
Calculated total energy, eV/atom: -3.68
Crystal system: tetragonal
E_form (uncorrected), meV/atom: 605

---

# 8
First-principles (GGA-PBE) data for a geometry-optimized Na2Sb4Pd3Rh structure, as listed in Alexandria.

```
10
Lattice="4.580 0.000 0.000 0.000 4.580 0.000 0.000 0.000 10.920" Properties=species:S:1:pos:R:3 pbc="T T T"
Pd 0.000 2.290 1.480
Pd 0.000 0.000 5.460
Pd 2.290 0.000 9.440
Na 2.290 0.000 2.879
Na 0.000 2.290 8.042
Rh 2.290 2.290 5.460
Sb 0.000 0.000 0.000
Sb 0.000 2.290 4.123
Sb 2.290 2.290 0.000
Sb 2.290 0.000 6.797
```

Space group: P-4m2, No. 115
Calculated total energy, eV/atom: -4.62
Crystal system: tetragonal
E_form (uncorrected), meV/atom: -416

---

Number 1: density 9.6 g/cm3. Number 2: density 7.4 g/cm3. Number 3: density 10.2 g/cm3. Number 4: density 12.3 g/cm3. Number 5: density 8.7 g/cm3. Number 6: density 2.4 g/cm3. Number 7: density 8.0 g/cm3. Number 8: density 6.9 g/cm3.